Material: Ti2CrGeRu
Method: DFT, PBE
State: optimized geometry

abc: 4.4699 4.4699 4.3915
angles: 90.00 90.00 90.00
Space group P4/mmm (No. 123)
Unique sites:
1 Ti 0.0000 0.5000 0.0000 [2 per cell]
2 Cr 0.0000 0.0000 0.0000 [1 per cell]
3 Ge 0.5000 0.5000 0.5000 [1 per cell]
4 Ru 0.0000 0.0000 0.5000 [1 per cell]

Summary:
crystal system = tetragonal
density of states at the Fermi level = 3.39 states/eV per cell
E_tot = -7.329 eV/atom
formation energy = 257 kJ/mol of formula units